(1)
Entry from Alexandria: a relaxed Pm8SnPt2 crystal (PBE).

Cell lengths 17.6248, 5.0007, 8.0659 Å; angles 90.00, 115.53, 90.00 degrees
With the nearest neighbours (Å) after each atom.
Space group C2/m (No. 12)
Unique sites:
Pm 0.0498 0.0000 0.2611  1 Pt 2.99
Pm 0.0956 0.5000 0.9667  2 Pt 3.02
Pm 0.1826 0.5000 0.4766  1 Pt 2.88
Pm 0.1857 0.0000 0.7892  3 Pt 2.87-3.21
Sn 0.0000 0.5000 0.5000  8 Pm 3.30-3.49
Pt 0.1908 0.0000 0.1492  7 Pm 2.87-3.21

## Properties
The value obtained for the formation enthalpy at 0 K is -0.573 eV/atom. As for the magnetization: 0.000 μB/f.u.

=====

(2)
Entry from Alexandria: a relaxed SiRu2W crystal (PBE).

Cell lengths 2.7863, 3.9886, 5.2683 Å; angles 90.00, 104.43, 90.00 degrees
With the nearest neighbours (Å) after each atom.
Space group P2/m (No. 10)
Unique sites:
Si 0.0000 0.0000 0.0000  4 Ru 2.44, 2 W 2.63
Ru 0.3783 0.5000 0.2350  2 Si 2.44, 2 Ru 2.70-2.73
W 0.0000 0.0000 0.5000  2 Si 2.63, 8 Ru 2.78-2.79, 2 W 2.79

## Properties
As for the magnetization: 0.000 μB/f.u. Its uncorrected formation energy is -0.154 eV/atom.

=====

(3)
Entry from Alexandria: a relaxed Bi2Pb3 crystal (PBE).

Cell lengths 4.2741, 4.2741, 17.6388 Å; angles 90.00, 90.00, 90.00 degrees
With the nearest neighbours (Å) after each atom.
Space group I4/mmm (No. 139)
Unique sites:
Bi 0.0000 0.0000 0.1018  9 Pb 3.45-3.56, 1 Bi 3.59
Pb 0.0000 0.0000 0.3036  5 Bi 3.45-3.56, 5 Pb 3.46-3.57
Pb 0.0000 0.0000 0.5000  2 Pb 3.46, 8 Bi 3.52

## Properties
The offset from the most stable computed form is 0 meV/atom. The value obtained for the formation enthalpy at 0 K is 0.041 eV/atom. As for the magnetization: 0.000 μB/f.u.